Entry 1:
# La2Pt2Br, optimized geometry, DFT PBE
data_La2Pt2Br
_cell_length_a 8.297
_cell_length_b 8.297
_cell_length_c 3.716
_cell_angle_alpha 90.00
_cell_angle_beta 90.00
_cell_angle_gamma 90.00
_space_group_name_H-M_alt 'P 4/m b m'
_space_group_IT_number 127
_space_group_name_Hall '-P 4 2ab'
loop_
_atom_site_label
_atom_site_type_symbol
_atom_site_fract_x
_atom_site_fract_y
_atom_site_fract_z
_atom_site_occupancy
La1 La 0.171 0.329 0.000 1
Pt1 Pt 0.123 0.623 0.500 1
Br1 Br 0.000 0.000 0.500 1
# DFT total energy: -5.900 eV per atom
# Formation energy from raw total energies: -1.178 eV per atom



Entry 2:
# Fe2Mo, optimized geometry, DFT PBE
data_Fe2Mo
_cell_length_a 2.7134
_cell_length_b 2.7134
_cell_length_c 6.2249
_cell_angle_alpha 90.00
_cell_angle_beta 90.00
_cell_angle_gamma 120.00
_space_group_name_H-M_alt 'P -3 m 1'
_space_group_IT_number 164
_space_group_name_Hall '-P 3 2"'
loop_
_atom_site_label
_atom_site_type_symbol
_atom_site_fract_x
_atom_site_fract_y
_atom_site_fract_z
_atom_site_occupancy
Fe1 Fe 0.3333 0.6667 0.1507 1
Mo1 Mo 0.0000 0.0000 0.5000 1
# DFT total energy: -8.990 eV per atom
# Calculated formation energy: 262 meV per atom



Entry 3:
# ScTe2Pt, optimized geometry, DFT PBE
data_ScTe2Pt
_cell_length_a 4.138
_cell_length_b 3.840
_cell_length_c 6.383
_cell_angle_alpha 90.00
_cell_angle_beta 99.58
_cell_angle_gamma 90.00
_space_group_name_H-M_alt 'P 1 2/m 1'
_space_group_IT_number 10
loop_
_space_group_symop_operation_xyz
'x,y,z'
'-x,-y,-z'
'-x,y,-z'
'x,-y,z'
loop_
_atom_site_label
_atom_site_type_symbol
_atom_site_fract_x
_atom_site_fract_y
_atom_site_fract_z
_atom_site_occupancy
Sc1 Sc 0.000 0.000 0.000 1
Te1 Te 0.322 0.500 0.744 1
Pt1 Pt 0.000 0.000 0.500 1
# DFT total energy: -5.216 eV per atom
# Formation energy from raw total energies: -0.552 eV per atom



Entry 4:
# MgSiW, optimized geometry, DFT PBE
data_MgSiW
_cell_length_a 5.982
_cell_length_b 5.982
_cell_length_c 5.982
_cell_angle_alpha 90.00
_cell_angle_beta 90.00
_cell_angle_gamma 90.00
_space_group_name_H-M_alt 'F -4 3 m'
_space_group_IT_number 216
_space_group_name_Hall 'F -4 2 3'
loop_
_atom_site_label
_atom_site_type_symbol
_atom_site_fract_x
_atom_site_fract_y
_atom_site_fract_z
_atom_site_occupancy
Mg1 Mg 0.000 0.000 0.000 1
Si1 Si 0.250 0.250 0.750 1
W1 W 0.000 0.000 0.500 1
# DFT total energy: -6.155 eV per atom
# Formation energy from raw total energies: 0.502 eV per atom



Entry 5:
# YTh2In, optimized geometry, DFT PBE
data_YTh2In
_cell_length_a 3.4019
_cell_length_b 3.4019
_cell_length_c 37.0431
_cell_angle_alpha 90.00
_cell_angle_beta 90.00
_cell_angle_gamma 120.00
_space_group_name_H-M_alt 'R -3 m'
_space_group_IT_number 166
_space_group_name_Hall '-R 3 2"'
loop_
_atom_site_label
_atom_site_type_symbol
_atom_site_fract_x
_atom_site_fract_y
_atom_site_fract_z
_atom_site_occupancy
Y1 Y 0.0000 0.0000 0.0000 1
Th1 Th 0.0000 0.0000 0.0904 1
In1 In 0.0000 0.0000 0.5000 1
# DFT total energy: -5.872 eV per atom
# Calculated formation energy: 139 meV per atom



Entry 6:
# MnP2CCl, optimized geometry, DFT PBE
data_MnP2CCl
_cell_length_a 3.912
_cell_length_b 3.912
_cell_length_c 4.232
_cell_angle_alpha 90.00
_cell_angle_beta 90.00
_cell_angle_gamma 90.00
_space_group_name_H-M_alt 'P 4/m m m'
_space_group_IT_number 123
_space_group_name_Hall '-P 4 2'
loop_
_atom_site_label
_atom_site_type_symbol
_atom_site_fract_x
_atom_site_fract_y
_atom_site_fract_z
_atom_site_occupancy
Mn1 Mn 0.000 0.000 0.000 1
P1 P 0.000 0.500 0.500 1
C1 C 0.500 0.500 0.500 1
Cl1 Cl 0.500 0.500 0.000 1
# DFT total energy: -4.760 eV per atom
# Formation energy from raw total energies: 1.452 eV per atom



Entry 7:
# NbVSCl2, optimized geometry, DFT PBE
data_NbVSCl2
_cell_length_a 4.876
_cell_length_b 4.876
_cell_length_c 4.868
_cell_angle_alpha 90.00
_cell_angle_beta 90.00
_cell_angle_gamma 90.00
_space_group_name_H-M_alt 'P 4/m m m'
_space_group_IT_number 123
_space_group_name_Hall '-P 4 2'
loop_
_atom_site_label
_atom_site_type_symbol
_atom_site_fract_x
_atom_site_fract_y
_atom_site_fract_z
_atom_site_occupancy
Nb1 Nb 0.000 0.000 0.000 1
V1 V 0.500 0.500 0.500 1
S1 S 0.000 0.000 0.500 1
Cl1 Cl 0.000 0.500 0.000 1
# DFT total energy: -5.389 eV per atom
# Formation energy from raw total energies: 0.012 eV per atom



Entry 8:
# MnNi2Ru, optimized geometry, DFT PBE
data_MnNi2Ru
_cell_length_a 5.806
_cell_length_b 5.806
_cell_length_c 5.806
_cell_angle_alpha 90.00
_cell_angle_beta 90.00
_cell_angle_gamma 90.00
_space_group_name_H-M_alt 'F -4 3 m'
_space_group_IT_number 216
_space_group_name_Hall 'F -4 2 3'
loop_
_atom_site_label
_atom_site_type_symbol
_atom_site_fract_x
_atom_site_fract_y
_atom_site_fract_z
_atom_site_occupancy
Mn1 Mn 0.000 0.000 0.000 1
Ni1 Ni 0.000 0.000 0.500 1
Ni2 Ni 0.250 0.250 0.750 1
Ru1 Ru 0.250 0.250 0.250 1
# DFT total energy: -7.372 eV per atom
# Calculated formation energy: 130 meV per atom